The following is a DFT calculation (PBE-GGA) of a relaxed Er4ReO10 crystal.

Cell lengths 8.266, 8.266, 5.260 Å; angles 90.00, 90.00, 90.00 degrees
Space group I4/m (No. 87)
Unique sites:
Er  0.098  0.697  0.000 x8
Re  0.000  0.000  0.500 x2
O  0.000  0.500  0.250 x4
O  0.096  0.180  0.273 x16

Output
- uncorrected formation energy (eV per atom) = -2.65

***

The following is a DFT calculation (PBE-GGA) of a relaxed KTiTe2N crystal.

Cell lengths 5.925, 5.925, 3.728 Å; angles 90.00, 90.00, 90.00 degrees
Space group P4/mmm (No. 123)
Unique sites:
K  0.000  0.000  0.000 x1
Ti  0.500  0.500  0.500 x1
Te  0.000  0.500  0.500 x2
N  0.500  0.500  0.000 x1

Output
- uncorrected formation energy (eV per atom) = -0.40
- ΔE to the lowest computed polymorph (eV per formula unit) = 0.00

***

The following is a DFT calculation (PBE-GGA) of a relaxed VTcRh6 crystal.

Cell lengths 5.408, 5.408, 3.840 Å; angles 90.00, 90.00, 90.00 degrees
Space group P4/mmm (No. 123)
Unique sites:
V  0.000  0.000  0.000 x1
Tc  0.500  0.500  0.000 x1
Rh  0.000  0.500  0.000 x2
Rh  0.249  0.249  0.500 x4

Output
- energy relative to the elements (meV/atom) = -202
- ΔE to the lowest computed polymorph (eV per formula unit) = 0.00

***

The following is a DFT calculation (PBE-GGA) of a relaxed DyHo2 crystal.

Cell lengths 9.212, 9.212, 9.212 Å; angles 90.00, 90.00, 90.00 degrees
Space group Fd-3m (No. 227, origin choice 2)
Unique sites:
Dy  0.125  0.125  0.125 x8
Ho  0.000  0.000  0.500 x16

Output
- energy relative to the elements (meV/atom) = 271
- ΔE to the lowest computed polymorph (eV per formula unit) = 0.82

***

The following is a DFT calculation (PBE-GGA) of a relaxed CdAu crystal.

Cell lengths 3.120, 4.905, 5.074 Å; angles 90.00, 91.07, 90.00 degrees
Space group P2_1/m (No. 11)
Unique sites:
Cd  0.005  0.250  0.308 x2
Au  0.499  0.750  0.188 x2

Output
- energy relative to the elements (meV/atom) = -181

***

The following is a DFT calculation (PBE-GGA) of a relaxed Th3In2 crystal.

Cell lengths 8.810, 8.810, 7.814 Å; angles 90.00, 90.00, 90.00 degrees
Space group P4_2/mnm (No. 136)
Unique sites:
Th  0.000  0.500  0.250 x4
Th  0.153  0.153  0.000 x4
Th  0.205  0.205  0.500 x4
In  0.121  0.879  0.298 x8

Output
- energy relative to the elements (meV/atom) = -201
- ΔE to the lowest computed polymorph (eV per formula unit) = 0.00

***

The following is a DFT calculation (PBE-GGA) of a relaxed Sr3Zn2InO6 crystal.

Cell lengths 5.9697, 5.9697, 6.5267 Å; angles 90.00, 90.00, 120.00 degrees
Space group P-3m1 (No. 164)
Unique sites:
Sr  0.0000  0.0000  0.0000 x1
Sr  0.3333  0.6667  0.6217 x2
Zn  0.3333  0.6667  0.1661 x2
In  0.0000  0.0000  0.5000 x1
O  0.1665  0.3330  0.2989 x6

Output
- uncorrected formation energy (eV per atom) = -1.82

***

Please write out number 3 again, unchanged.
The following is a DFT calculation (PBE-GGA) of a relaxed VTcRh6 crystal.

Cell lengths 5.408, 5.408, 3.840 Å; angles 90.00, 90.00, 90.00 degrees
Space group P4/mmm (No. 123)
Unique sites:
V  0.000  0.000  0.000 x1
Tc  0.500  0.500  0.000 x1
Rh  0.000  0.500  0.000 x2
Rh  0.249  0.249  0.500 x4

Output
- energy relative to the elements (meV/atom) = -202
- ΔE to the lowest computed polymorph (eV per formula unit) = 0.00